VASP calculation (PBE) on an optimized crystal structure of Ac2MgAl5.

Results
**E**: -61.26 eV for the cell shown
**M_tot**: 0.0000 μB/atom

a = 4.6170 Å, b = 9.3114 Å, c = 9.5773 Å
α = 90.00°, β = 90.00°, γ = 104.35°
Last column: nearest neighbours and their distance in Å.
Element x y z (fractional)
Al  0.6505  0.3011  0.0128  3 Al 2.67-2.70, 1 Mg 2.81
Al  0.4034  0.8069  0.2500  2 Al 2.70, 1 Mg 2.80
Al  0.6505  0.3011  0.4872  3 Al 2.67-2.70, 1 Mg 2.81
Al  0.1839  0.3677  0.6115  3 Al 2.65-2.67
Al  0.8161  0.6323  0.3885  3 Al 2.65-2.67
Al  0.1839  0.3677  0.8885  3 Al 2.65-2.67
Ac  0.0000  0.0000  0.0000  10 Al 3.48-3.75, 4 Mg 3.49
Mg  0.5589  0.1177  0.2500  3 Al 2.80-2.81
Al  0.3495  0.6989  0.5128  3 Al 2.67-2.70, 1 Mg 2.81
Al  0.3495  0.6989  0.9872  3 Al 2.67-2.70, 1 Mg 2.81
Al  0.8161  0.6323  0.1115  3 Al 2.65-2.67
Ac  0.2054  0.4107  0.2500  13 Al 3.33-3.62, 2 Mg 3.51
Ac  0.0000  0.0000  0.5000  10 Al 3.48-3.75, 4 Mg 3.49
Al  0.5966  0.1931  0.7500  2 Al 2.70, 1 Mg 2.80
Ac  0.7946  0.5893  0.7500  13 Al 3.33-3.62, 2 Mg 3.51
Mg  0.4411  0.8823  0.7500  3 Al 2.80-2.81